No. 1
A relaxed KY2Au crystal, computed with PBE.

```
KY2Au
1.0
3.728 0.000 0.000
0.000 3.728 0.000
0.000 0.000 9.817
K Y Au
1 2 1
direct
0.000 0.000 0.000
0.000 0.000 0.606
0.500 0.500 0.364
0.500 0.500 0.744
```

Properties
**Formation energy from the elements**: -0.179 eV per atom

---

No. 2
A relaxed NdScOs4 crystal, computed with PBE.

```
NdScOs4
1.0
0.000 3.778 3.778
3.778 0.000 3.778
3.778 3.778 0.000
Nd Sc Os
1 1 4
direct
0.000 0.000 0.000
0.250 0.250 0.250
0.126 0.625 0.625
0.625 0.126 0.625
0.625 0.625 0.126
0.625 0.625 0.625
```

Properties
**Formation energy from the elements**: -0.162 eV per atom

---

No. 3
A relaxed Sr2NdSb4Pt3 crystal, computed with PBE.

```
Sr2NdSb4Pt3
1.0
4.686 0.000 0.000
0.000 4.686 0.000
0.000 0.000 12.020
Sr Nd Sb Pt
2 1 4 3
direct
0.000 0.500 0.232
0.500 0.000 0.768
0.000 0.000 0.500
0.000 0.000 0.000
0.000 0.500 0.660
0.500 0.000 0.340
0.500 0.500 0.000
0.000 0.500 0.884
0.500 0.000 0.116
0.500 0.500 0.500
```

Properties
**E_form (uncorrected)**: -79 kJ/mol of atoms

---

No. 4
A relaxed ReAuIO2 crystal, computed with PBE.

```
ReAuIO2
1.0
3.876 0.000 0.000
0.000 3.876 0.000
0.000 0.000 5.976
Re Au I O
1 1 1 2
direct
0.000 0.000 0.000
0.500 0.500 0.500
0.000 0.000 0.500
0.000 0.500 0.000
0.500 0.000 0.000
```

Properties
**E_form (uncorrected)**: -45 kJ/mol of atoms

---

No. 5
A relaxed DyBRu crystal, computed with PBE.

```
DyBRu
1.0
3.229 0.000 0.000
0.000 3.762 0.000
0.000 0.000 16.156
Dy B Ru
4 4 4
direct
0.000 0.000 0.165
0.000 0.000 0.835
0.500 0.500 0.335
0.500 0.500 0.665
0.000 0.244 0.000
0.000 0.756 0.000
0.500 0.256 0.500
0.500 0.744 0.500
0.000 0.000 0.417
0.000 0.000 0.583
0.500 0.500 0.083
0.500 0.500 0.917
```

Properties
**Formation energy from the elements**: -0.098 eV per atom

---

No. 6
A relaxed Cs2RbI2 crystal, computed with PBE.

```
Cs2RbI2
1.0
11.281 0.000 0.000
0.000 11.281 0.000
0.000 0.000 4.650
Cs Rb I
4 2 4
direct
0.140 0.360 0.000
0.360 0.860 0.000
0.640 0.140 0.000
0.860 0.640 0.000
0.000 0.000 0.000
0.500 0.500 0.000
0.151 0.651 0.500
0.349 0.151 0.500
0.651 0.849 0.500
0.849 0.349 0.500
```

Properties
**E_form (uncorrected)**: -103 kJ/mol of atoms

---

Number 1: V 34.113 A^3/atom. Number 2: V 17.970 A^3/atom. Number 3: V 26.389 A^3/atom. Number 4: V 17.958 A^3/atom. Number 5: V 16.352 A^3/atom. Number 6: V 59.180 A^3/atom.